A geometry-optimized FeSi3 structure. Source: Alexandria via LeMat-Bulk, functional GGA-PBE.

Lattice parameters (Å, degrees): 4.4692 6.7346 6.8942 90.00 90.00 90.00
Sites, in units of the cell vectors:
Si (0.0587, 0.9841, 0.7500)
Si (0.5587, 0.5159, 0.2500)
Si (0.4413, 0.4841, 0.7500)
Si (0.9413, 0.0159, 0.2500)
Si (0.6805, 0.1404, 0.9490)
Si (0.1805, 0.3596, 0.0510)
Si (0.8195, 0.6404, 0.5510)
Si (0.3195, 0.8596, 0.4490)
Si (0.3195, 0.8596, 0.0510)
Si (0.8195, 0.6404, 0.9490)
Si (0.1805, 0.3596, 0.4490)
Si (0.6805, 0.1404, 0.5510)
Fe (0.5482, 0.8572, 0.7500)
Fe (0.0482, 0.6428, 0.2500)
Fe (0.9518, 0.3572, 0.7500)
Fe (0.4518, 0.1428, 0.2500)

Computed properties:
- total moment (μB/atom) = 0.0000
- space-group type = No. 62
- theoretical density (g/cm3) = 4.485
- E_form (uncorrected) (kJ per mole of atoms) = -14.26
- electronic total energy (eV per atom) = -6.3308

A geometry-optimized Fe3Si5 structure. Source: Alexandria via LeMat-Bulk, functional GGA-PBE.

Lattice parameters (Å, degrees): 6.5121 6.5121 6.5947 77.75 77.75 126.35
Sites, in units of the cell vectors:
Si (0.3411, 0.8411, 0.5026)
Si (0.8493, 0.3493, 0.4965)
Si (0.8723, 0.7259, 0.2875)
Si (0.0152, 0.1569, 0.7121)
Si (0.3580, 0.6493, 0.8592)
Si (0.5175, 0.2359, 0.1519)
Si (0.6569, 0.5152, 0.7121)
Si (0.2259, 0.3723, 0.2875)
Si (0.7359, 0.0175, 0.1519)
Si (0.1493, 0.8580, 0.8592)
Fe (0.1870, 0.1810, 0.0009)
Fe (0.6810, 0.6870, 0.0009)
Fe (0.9151, 0.4151, 0.8306)
Fe (0.2981, 0.7981, 0.1523)
Fe (0.4332, 0.2642, 0.5008)
Fe (0.7642, 0.9332, 0.5008)

Computed properties:
- total moment (μB/atom) = 0.2080
- space-group type = No. 8
- theoretical density (g/cm3) = 5.145
- E_form (uncorrected) (kJ per mole of atoms) = -21.32
- electronic total energy (eV per atom) = -6.7838

A geometry-optimized FeSi4 structure. Source: Alexandria via LeMat-Bulk, functional GGA-PBE.

Lattice parameters (Å, degrees): 4.3439 4.3439 4.3439 90.00 90.00 90.00
Sites, in units of the cell vectors:
Si (0.0000, 0.0000, 0.0000)
Si (0.5000, 0.0000, 0.5000)
Si (0.0000, 0.5000, 0.5000)
Si (0.5000, 0.5000, 0.0000)
Fe (0.5000, 0.5000, 0.5000)

Computed properties:
- total moment (μB/atom) = 0.0001
- space-group type = No. 221
- theoretical density (g/cm3) = 3.407
- E_form (uncorrected) (kJ per mole of atoms) = 50.74
- electronic total energy (eV per atom) = -5.5050